1.
Here is a relaxed Dy8Tl5Hg crystal from Alexandria. Energies are from GGA-PBE.

The structure belongs to space group I-4 (No. 82); the cell edges are 9.299, 9.299 and 9.335 Å and the angles 90.00°, 90.00° and 90.00°. The inequivalent atoms are Dy at (0.072, 0.179, 0.301), Dy at (0.076, 0.323, 0.949), Tl at (0.000, 0.000, 0.000), Tl at (0.125, 0.250, 0.625) and Hg at (0.000, 0.500, 0.250).

Its crystal system is tetragonal. Its theoretical density is 10.38 g cm⁻³. For the energy of formation from the pure elements, the calculation gives -0.256 eV/atom.

2.
Here is a relaxed TlCd4Ga2 crystal from Alexandria. Energies are from GGA-PBE.

The structure belongs to space group Cmmm (No. 65); the cell edges are 4.482, 16.685 and 4.452 Å and the angles 90.00°, 90.00° and 90.00°. The inequivalent atoms are Tl at (0.000, 0.000, 0.000), Cd at (0.000, 0.180, 0.500), Cd at (0.000, 0.316, 0.000) and Ga at (0.000, 0.424, 0.500).

Its crystal system is orthorhombic. Its theoretical density is 7.91 g cm⁻³. For the energy of formation from the pure elements, the calculation gives 0.040 eV/atom.

3.
Here is a relaxed TbCePrPa crystal from Alexandria. Energies are from GGA-PBE.

The structure belongs to space group F-43m (No. 216); the cell edges are 7.884, 7.884 and 7.884 Å and the angles 90.00°, 90.00° and 90.00°. The inequivalent atoms are Tb at (0.000, 0.000, 0.000), Ce at (0.250, 0.250, 0.750), Pr at (0.250, 0.250, 0.250) and Pa at (0.000, 0.000, 0.500).

Its crystal system is cubic. Its theoretical density is 9.09 g cm⁻³. For the energy of formation from the pure elements, the calculation gives 0.406 eV/atom.

4.
Here is a relaxed CaMg2AgAs crystal from Alexandria. Energies are from GGA-PBE.

The structure belongs to space group P4/mmm (No. 123); the cell edges are 4.993, 4.993 and 5.588 Å and the angles 90.00°, 90.00° and 90.00°. The inequivalent atoms are Ca at (0.000, 0.000, 0.000), Mg at (0.000, 0.500, 0.500), Ag at (0.000, 0.000, 0.500) and As at (0.500, 0.500, 0.000).

Its crystal system is tetragonal. Its theoretical density is 3.24 g cm⁻³. For the energy of formation from the pure elements, the calculation gives 0.048 eV/atom.

5.
Here is a relaxed LaHoTlGa crystal from Alexandria. Energies are from GGA-PBE.

The structure belongs to space group P4mm (No. 99); the cell edges are 3.702, 3.702 and 7.836 Å and the angles 90.00°, 90.00° and 90.00°. The inequivalent atoms are La at (0.000, 0.000, 0.000), Ho at (0.000, 0.000, 0.537), Tl at (0.500, 0.500, 0.289) and Ga at (0.500, 0.500, 0.750).

Its energy above the lowest structure with this stoichiometry is 0.0 kJ/mol of formula units. Its crystal system is tetragonal. Its theoretical density is 8.94 g cm⁻³. For the energy of formation from the pure elements, the calculation gives -0.482 eV/atom.

6.
Here is a relaxed Cu2Si2Ge crystal from Alexandria. Energies are from GGA-PBE.

The structure belongs to space group P4/mbm (No. 127); the cell edges are 7.606, 7.606 and 2.554 Å and the angles 90.00°, 90.00° and 90.00°. The inequivalent atoms are Cu at (0.157, 0.343, 0.000), Si at (0.138, 0.638, 0.500) and Ge at (0.000, 0.000, 0.500).

Its energy above the lowest structure with this stoichiometry is 19.1 kJ/mol of formula units. Its crystal system is tetragonal. Its raw formation energy is 0.253 eV per atom. Its theoretical density is 5.75 g cm⁻³.

7.
Here is a relaxed TmScPdRh crystal from Alexandria. Energies are from GGA-PBE.

The structure belongs to space group F-43m (No. 216); the cell edges are 6.695, 6.695 and 6.695 Å and the angles 90.00°, 90.00° and 90.00°. The inequivalent atoms are Tm at (0.000, 0.000, 0.000), Sc at (0.000, 0.000, 0.500), Pd at (0.250, 0.250, 0.250) and Rh at (0.250, 0.250, 0.750).

Its crystal system is cubic. Its theoretical density is 9.37 g cm⁻³. For the energy of formation from the pure elements, the calculation gives -0.939 eV/atom.

8.
Here is a relaxed GdTl3 crystal from Alexandria. Energies are from GGA-PBE.

The structure belongs to space group Pm-3m (No. 221); the cell edges are 4.783, 4.783 and 4.783 Å and the angles 90.00°, 90.00° and 90.00°. The inequivalent atoms are Gd at (0.000, 0.000, 0.000) and Tl at (0.000, 0.500, 0.500).

Its energy above the lowest structure with this stoichiometry is 0.0 kJ/mol of formula units. Its crystal system is cubic. Its theoretical density is 11.69 g cm⁻³. For the energy of formation from the pure elements, the calculation gives -0.264 eV/atom.

9.
Here is a relaxed VCrCuRh crystal from Alexandria. Energies are from GGA-PBE.

The structure belongs to space group F-43m (No. 216); the cell edges are 5.959, 5.959 and 5.959 Å and the angles 90.00°, 90.00° and 90.00°. The inequivalent atoms are V at (0.000, 0.000, 0.000), Cr at (0.250, 0.250, 0.750), Cu at (0.000, 0.000, 0.500) and Rh at (0.250, 0.250, 0.250).

Its crystal system is cubic. Its theoretical density is 8.46 g cm⁻³. For the energy of formation from the pure elements, the calculation gives -0.039 eV/atom.

10.
Here is a relaxed LiIn2Pb9 crystal from Alexandria. Energies are from GGA-PBE.

The structure belongs to space group P4/mmm (No. 123); the cell edges are 4.903, 4.903 and 14.951 Å and the angles 90.00°, 90.00° and 90.00°. The inequivalent atoms are Li at (0.000, 0.000, 0.000), In at (0.000, 0.000, 0.330), Pb at (0.000, 0.500, 0.159), Pb at (0.000, 0.500, 0.500), Pb at (0.500, 0.500, 0.000) and Pb at (0.500, 0.500, 0.329).

Its crystal system is tetragonal. Its theoretical density is 9.71 g cm⁻³. For the energy of formation from the pure elements, the calculation gives -0.031 eV/atom.

11.
Here is a relaxed PmDyAg4 crystal from Alexandria. Energies are from GGA-PBE.

The structure belongs to space group C2/m (No. 12); the cell edges are 10.106, 3.755 and 7.637 Å and the angles 90.00°, 112.07° and 90.00°. The inequivalent atoms are Pm at (0.000, 0.000, 0.000), Dy at (0.000, 0.000, 0.500), Ag at (0.169, 0.500, 0.827) and Ag at (0.171, 0.500, 0.342).

Its energy above the lowest structure with this stoichiometry is 0.0 kJ/mol of formula units. Its crystal system is monoclinic. Its theoretical density is 9.14 g cm⁻³. For the energy of formation from the pure elements, the calculation gives -0.285 eV/atom.

12.
Here is a relaxed LaTbCo crystal from Alexandria. Energies are from GGA-PBE.

The structure belongs to space group P3m1 (No. 156); the cell edges are 3.9809, 3.9809 and 6.3360 Å and the angles 90.00°, 90.00° and 120.00°. The inequivalent atoms are La at (0.0000, 0.0000, 0.0000), Tb at (0.3333, 0.6667, 0.4569) and Co at (0.6667, 0.3333, 0.2290).

Its energy above the lowest structure with this stoichiometry is 20.2 kJ/mol of formula units. Its crystal system is trigonal. Its theoretical density is 6.81 g cm⁻³. For the energy of formation from the pure elements, the calculation gives -0.070 eV/atom.

13.
Here is a relaxed CeCoC crystal from Alexandria. Energies are from GGA-PBE.

The structure belongs to space group I4mm (No. 107); the cell edges are 3.881, 3.881 and 6.356 Å and the angles 90.00°, 90.00° and 90.00°. The inequivalent atoms are Ce at (0.000, 0.000, 0.000), Co at (0.000, 0.000, 0.650) and C at (0.000, 0.000, 0.370).

Its energy above the lowest structure with this stoichiometry is 202.1 kJ/mol of formula units. Its crystal system is tetragonal. Its theoretical density is 7.32 g cm⁻³. For the energy of formation from the pure elements, the calculation gives 0.516 eV/atom.

14.
Here is a relaxed HfRe2Si4 crystal from Alexandria. Energies are from GGA-PBE.

The structure belongs to space group I4/mmm (No. 139); the cell edges are 4.756, 4.756 and 12.486 Å and the angles 90.00°, 90.00° and 90.00°. The inequivalent atoms are Hf at (0.000, 0.000, 0.000), Re at (0.000, 0.000, 0.404), Si at (0.000, 0.000, 0.211) and Si at (0.000, 0.500, 0.000).

Its crystal system is tetragonal. Its raw formation energy is 0.960 eV per atom. Its theoretical density is 7.80 g cm⁻³.

15.
Here is a relaxed SmSbP2Rh5 crystal from Alexandria. Energies are from GGA-PBE.

The structure belongs to space group P4/mmm (No. 123); the cell edges are 4.049, 4.049 and 10.175 Å and the angles 90.00°, 90.00° and 90.00°. The inequivalent atoms are Sm at (0.000, 0.000, 0.000), Sb at (0.000, 0.000, 0.500), P at (0.500, 0.500, 0.222), Rh at (0.000, 0.500, 0.328) and Rh at (0.500, 0.500, 0.000).

Its crystal system is tetragonal. Its raw formation energy is -0.721 eV per atom. Its theoretical density is 8.45 g cm⁻³.

16.
Here is a relaxed K2Rb6NaO crystal from Alexandria. Energies are from GGA-PBE.

The structure belongs to space group P2_1/c (No. 14); the cell edges are 8.836, 10.956 and 15.412 Å and the angles 90.00°, 118.64° and 90.00°. The inequivalent atoms are K at (0.221, 0.000, 0.188), Rb at (0.198, 0.001, 0.706), Rb at (0.216, 0.181, 0.485), Rb at (0.218, 0.680, 0.986), Na at (0.500, 0.000, 0.000) and O at (0.000, 0.000, 0.500).

Its crystal system is monoclinic. Its raw formation energy is -0.263 eV per atom. Its theoretical density is 1.60 g cm⁻³.

17.
Here is a relaxed ZnInSnF6 crystal from Alexandria. Energies are from GGA-PBE.

The structure belongs to space group P312 (No. 149); the cell edges are 5.7459, 5.7459 and 5.1471 Å and the angles 90.00°, 90.00° and 120.00°. The inequivalent atoms are Zn at (0.0000, 0.0000, 0.0000), In at (0.6667, 0.3333, 0.0000), Sn at (0.3333, 0.6667, 0.5000) and F at (0.3056, 0.0022, 0.2238).

Its crystal system is trigonal. Its raw formation energy is -2.159 eV per atom. Its theoretical density is 4.66 g cm⁻³.

18.
Here is a relaxed YAg2 crystal from Alexandria. Energies are from GGA-PBE.

The structure belongs to space group I4/mmm (No. 139); the cell edges are 3.745, 3.745 and 9.305 Å and the angles 90.00°, 90.00° and 90.00°. The inequivalent atoms are Y at (0.000, 0.000, 0.000) and Ag at (0.000, 0.000, 0.330).

Its crystal system is tetragonal. Its theoretical density is 7.75 g cm⁻³. For the energy of formation from the pure elements, the calculation gives -0.321 eV/atom.

19.
Here is a relaxed Sc3Cu2Au crystal from Alexandria. Energies are from GGA-PBE.

The structure belongs to space group P4/mmm (No. 123); the cell edges are 3.300, 3.300 and 10.013 Å and the angles 90.00°, 90.00° and 90.00°. The inequivalent atoms are Sc at (0.000, 0.000, 0.000), Sc at (0.000, 0.000, 0.324), Cu at (0.500, 0.500, 0.161) and Au at (0.500, 0.500, 0.500).

Its energy above the lowest structure with this stoichiometry is 0.0 kJ/mol of formula units. Its crystal system is tetragonal. Its theoretical density is 6.99 g cm⁻³. For the energy of formation from the pure elements, the calculation gives -0.454 eV/atom.

20.
Here is a relaxed ErPuCoNi crystal from Alexandria. Energies are from GGA-PBE.

The structure belongs to space group F-43m (No. 216); the cell edges are 6.659, 6.659 and 6.659 Å and the angles 90.00°, 90.00° and 90.00°. The inequivalent atoms are Er at (0.000, 0.000, 0.000), Pu at (0.000, 0.000, 0.500), Co at (0.250, 0.250, 0.750) and Ni at (0.250, 0.250, 0.250).

Its crystal system is cubic. Its theoretical density is 11.90 g cm⁻³. For the energy of formation from the pure elements, the calculation gives -0.107 eV/atom.

21.
Here is a relaxed LaPdRu crystal from Alexandria. Energies are from GGA-PBE.

The structure belongs to space group Imma (No. 74); the cell edges are 5.148, 5.553 and 8.256 Å and the angles 90.00°, 90.00° and 90.00°. The inequivalent atoms are La at (0.000, 0.250, 0.122), Pd at (0.000, 0.000, 0.500) and Ru at (0.250, 0.250, 0.750).

Its energy above the lowest structure with this stoichiometry is 0.0 kJ/mol of formula units. Its crystal system is orthorhombic. Its theoretical density is 9.75 g cm⁻³. For the energy of formation from the pure elements, the calculation gives -0.464 eV/atom.

22.
Here is a relaxed Nd4AuSe3 crystal from Alexandria. Energies are from GGA-PBE.

The structure belongs to space group Cmmm (No. 65); the cell edges are 8.626, 12.099 and 4.194 Å and the angles 90.00°, 90.00° and 90.00°. The inequivalent atoms are Nd at (0.000, 0.248, 0.000), Nd at (0.250, 0.000, 0.500), Au at (0.000, 0.500, 0.000), Se at (0.000, 0.000, 0.000) and Se at (0.250, 0.250, 0.500).

Its crystal system is orthorhombic. Its raw formation energy is -1.573 eV per atom. Its theoretical density is 7.67 g cm⁻³.

23.
Here is a relaxed Zr2SiGe crystal from Alexandria. Energies are from GGA-PBE.

The structure belongs to space group Amm2 (No. 38); the cell edges are 3.817, 3.819 and 10.078 Å and the angles 90.00°, 90.00° and 90.00°. The inequivalent atoms are Zr at (0.000, 0.000, 0.000), Zr at (0.500, 0.000, 0.289), Si at (0.500, 0.000, 0.559) and Ge at (0.000, 0.000, 0.725).

Its crystal system is orthorhombic. Its raw formation energy is -0.855 eV per atom. Its theoretical density is 6.40 g cm⁻³.

24.
Here is a relaxed Pm3GeBi crystal from Alexandria. Energies are from GGA-PBE.

The structure belongs to space group C2/c (No. 15); the cell edges are 15.413, 12.167 and 7.546 Å and the angles 90.00°, 102.08° and 90.00°. The inequivalent atoms are Pm at (0.101, 0.063, 0.438), Pm at (0.102, 0.243, 0.962), Pm at (0.111, 0.419, 0.468), Ge at (0.000, 0.246, 0.250), Ge at (0.000, 0.414, 0.750) and Bi at (0.247, 0.105, 0.795).

Its energy above the lowest structure with this stoichiometry is 0.0 kJ/mol of formula units. Its crystal system is monoclinic. Its theoretical density is 6.88 g cm⁻³. For the energy of formation from the pure elements, the calculation gives -0.599 eV/atom.

25.
Here is a relaxed SrLiTeI crystal from Alexandria. Energies are from GGA-PBE.

The structure belongs to space group R-3m (No. 166, hexagonal axes); the cell edges are 4.7199, 4.7199 and 46.2500 Å and the angles 90.00°, 90.00° and 120.00°. The inequivalent atoms are Sr at (0.0000, 0.0000, 0.0830), Li at (0.0000, 0.0000, 0.3127), Te at (0.0000, 0.0000, 0.3736) and I at (0.0000, 0.0000, 0.2104).

Its crystal system is trigonal. Its raw formation energy is -1.461 eV per atom. Its theoretical density is 3.90 g cm⁻³.